## A
Material: La3SmTm6
Method: DFT, PBE
State: optimized geometry

Unit cell a=9.902 b=9.902 c=6.892 alpha=44.08 beta=44.08 gamma=60.00
Atoms (fractional coordinates):
1 La 0.350 0.350 0.949
2 La 0.102 0.102 0.695
3 Sm 0.850 0.850 0.450
4 Tm 0.925 0.603 0.199
5 Tm 0.774 0.097 0.703
6 Tm 0.603 0.273 0.199
7 Tm 0.427 0.774 0.703
8 Tm 0.097 0.427 0.703
9 Tm 0.273 0.925 0.199
10 La 0.599 0.599 0.202

Values from the calculation:
Volume in A^3/atom: 32.69
M_tot in μB per formula unit: 0.00



## B
Material: La3SmTm6
Method: DFT, PBE
State: optimized geometry

Unit cell a=9.417 b=8.543 c=8.543 alpha=95.64 beta=90.00 gamma=90.00
Atoms (fractional coordinates):
1 Tm 0.796 0.397 0.080
2 Tm 0.133 0.812 0.629
3 Tm 0.713 0.011 0.989
4 La 0.851 0.522 0.478
5 La 0.952 0.086 0.304
6 Tm 0.633 0.188 0.371
7 La 0.452 0.914 0.696
8 Tm 0.133 0.371 0.188
9 La 0.952 0.696 0.914
10 Sm 0.533 0.757 0.243
11 Tm 0.213 0.989 0.011
12 Tm 0.628 0.261 0.739
13 Tm 0.296 0.080 0.397
14 Tm 0.296 0.603 0.920
15 La 0.452 0.304 0.086
16 Tm 0.796 0.920 0.603
17 Sm 0.033 0.243 0.757
18 La 0.351 0.478 0.522
19 Tm 0.633 0.629 0.812
20 Tm 0.128 0.739 0.261

Values from the calculation:
Volume in A^3/atom: 34.19
M_tot in μB per formula unit: 0.00



Which of them is most stable? Easy: B.



## A
Material: La7Sm2Tm
Method: DFT, PBE
State: optimized geometry

Unit cell a=8.875 b=8.875 c=5.855 alpha=90.00 beta=90.00 gamma=117.16
Atoms (fractional coordinates):
1 La 0.081 0.298 0.500
2 La 0.667 0.333 0.000
3 La 0.298 0.081 0.500
4 Sm 0.719 0.281 0.500
5 La 0.333 0.667 0.000
6 La 0.500 0.500 0.500
7 Tm 0.000 0.000 0.000
8 La 0.919 0.702 0.500
9 La 0.702 0.919 0.500
10 Sm 0.281 0.719 0.500

Values from the calculation:
Volume in A^3/atom: 41.04
M_tot in μB per formula unit: 0.00



## B
Material: La7Sm2Tm
Method: DFT, PBE
State: optimized geometry

Unit cell a=5.651 b=9.333 c=9.333 alpha=122.52 beta=90.00 gamma=90.00
Atoms (fractional coordinates):
1 La 0.500 0.072 0.298
2 Sm 0.500 0.702 0.298
3 La 0.000 0.762 0.238
4 Tm 0.000 0.000 0.000
5 La 0.500 0.500 0.500
6 La 0.000 0.238 0.762
7 La 0.500 0.702 0.928
8 Sm 0.500 0.298 0.702
9 La 0.500 0.298 0.072
10 La 0.500 0.928 0.702

Values from the calculation:
Volume in A^3/atom: 41.50
M_tot in μB per formula unit: 0.00



Which of them is most stable? Easy: A.